A plane-wave DFT calculation with PBE-GGA was carried out for an optimized crystal structure of Cs3Cd5H12.

Volume ... 17.57 Å³/atom
VASP energy ... -183.75 eV per cell
Space-group type ... Ia-3d, No. 230

a b c (Å): 12.224 12.224 12.224
angles (deg): 109.47 109.47 109.47
Sites, in units of the cell vectors:
Cs 0.125 0.250 0.375
Cs 0.125 0.375 0.750
Cs 0.250 0.375 0.125
Cs 0.250 0.875 0.625
Cs 0.375 0.125 0.250
Cs 0.375 0.750 0.125
Cs 0.625 0.250 0.875
Cs 0.625 0.875 0.750
Cs 0.750 0.125 0.375
Cs 0.750 0.625 0.875
Cs 0.875 0.625 0.250
Cs 0.875 0.750 0.625
Cd 0.000 0.000 0.000
Cd 0.000 0.000 0.500
Cd 0.000 0.500 0.000
Cd 0.000 0.500 0.500
Cd 0.125 0.750 0.875
Cd 0.125 0.875 0.250
Cd 0.250 0.125 0.875
Cd 0.250 0.625 0.375
Cd 0.375 0.250 0.625
Cd 0.375 0.625 0.750
Cd 0.500 0.000 0.000
Cd 0.500 0.000 0.500
Cd 0.500 0.500 0.000
Cd 0.500 0.500 0.500
Cd 0.625 0.375 0.250
Cd 0.625 0.750 0.375
Cd 0.750 0.375 0.625
Cd 0.750 0.875 0.125
Cd 0.875 0.125 0.750
Cd 0.875 0.250 0.125
H 0.015 0.688 0.110
H 0.015 0.827 0.905
H 0.078 0.673 0.688
H 0.078 0.905 0.390
H 0.095 0.610 0.922
H 0.095 0.985 0.173
H 0.110 0.015 0.688
H 0.110 0.595 0.422
H 0.173 0.095 0.985
H 0.173 0.578 0.188
H 0.188 0.173 0.578
H 0.188 0.515 0.610
H 0.312 0.890 0.985
H 0.312 0.922 0.327
H 0.327 0.312 0.922
H 0.327 0.515 0.405
H 0.390 0.078 0.905
H 0.390 0.812 0.485
H 0.405 0.327 0.515
H 0.405 0.578 0.890
H 0.422 0.110 0.595
H 0.422 0.812 0.827
H 0.485 0.390 0.812
H 0.485 0.595 0.673
H 0.515 0.405 0.327
H 0.515 0.610 0.188
H 0.578 0.188 0.173
H 0.578 0.890 0.405
H 0.595 0.422 0.110
H 0.595 0.673 0.485
H 0.610 0.188 0.515
H 0.610 0.922 0.095
H 0.673 0.485 0.595
H 0.673 0.688 0.078
H 0.688 0.078 0.673
H 0.688 0.110 0.015
H 0.812 0.485 0.390
H 0.812 0.827 0.422
H 0.827 0.422 0.812
H 0.827 0.905 0.015
H 0.890 0.405 0.578
H 0.890 0.985 0.312
H 0.905 0.015 0.827
H 0.905 0.390 0.078
H 0.922 0.095 0.610
H 0.922 0.327 0.312
H 0.985 0.173 0.095
H 0.985 0.312 0.890


A plane-wave DFT calculation with PBE-GGA was carried out for an optimized crystal structure of Cs2Cd2H5.

Volume ... 20.56 Å³/atom
VASP energy ... -20.15 eV per cell
Space-group type ... C2/m, No. 12

a b c (Å): 6.431 6.431 7.186
angles (deg): 106.64 106.64 40.84
Sites, in units of the cell vectors:
Cs 0.091 0.091 0.318
Cs 0.909 0.909 0.682
Cd 0.344 0.344 0.084
Cd 0.656 0.656 0.916
H 0.168 0.168 0.962
H 0.365 0.365 0.352
H 0.500 0.500 0.000
H 0.635 0.635 0.648
H 0.832 0.832 0.038


A plane-wave DFT calculation with PBE-GGA was carried out for an optimized crystal structure of Cs2CdH2.

Volume ... 30.59 Å³/atom
Excess energy over the best structure of this formula in the dataset ... 0.000 eV per atom
Space-group type ... P4/mbm, No. 127

a b c (Å): 8.723 8.723 4.021
angles (deg): 90.00 90.00 90.00
Sites, in units of the cell vectors:
Cs 0.153 0.347 0.000
Cs 0.347 0.847 0.000
Cs 0.653 0.153 0.000
Cs 0.847 0.653 0.000
Cd 0.000 0.000 0.500
Cd 0.500 0.500 0.500
H 0.150 0.650 0.500
H 0.350 0.150 0.500
H 0.650 0.850 0.500
H 0.850 0.350 0.500


A plane-wave DFT calculation with PBE-GGA was carried out for an optimized crystal structure of CsCdH2.

Volume ... 26.56 Å³/atom
Excess energy over the best structure of this formula in the dataset ... 0.154 eV per atom
Space-group type ... P4/mmm, No. 123

a b c (Å): 4.280 4.280 5.799
angles (deg): 90.00 90.00 90.00
Sites, in units of the cell vectors:
Cs 0.000 0.000 0.000
Cd 0.500 0.500 0.500
H 0.500 0.500 0.072
H 0.500 0.500 0.928


A plane-wave DFT calculation with PBE-GGA was carried out for an optimized crystal structure of CsCd2H6.

Volume ... 29.92 Å³/atom
Excess energy over the best structure of this formula in the dataset ... 0.016 eV per atom
Space-group type ... C2/m, No. 12

a b c (Å): 9.126 9.126 6.240
angles (deg): 90.02 90.02 148.79
Sites, in units of the cell vectors:
Cs 0.000 0.000 0.000
Cd 0.410 0.590 0.500
Cd 0.590 0.410 0.500
H 0.041 0.498 0.500
H 0.498 0.041 0.500
H 0.500 0.500 0.290
H 0.500 0.500 0.710
H 0.502 0.959 0.500
H 0.959 0.502 0.500


A plane-wave DFT calculation with PBE-GGA was carried out for an optimized crystal structure of CsCdH2.

Volume ... 27.11 Å³/atom
Excess energy over the best structure of this formula in the dataset ... 0.000 eV per atom
Space-group type ... P2_1/c, No. 14

a b c (Å): 8.348 5.870 9.719
angles (deg): 90.00 114.39 90.00
Sites, in units of the cell vectors:
Cs 0.211 0.007 0.407
Cs 0.211 0.493 0.907
Cs 0.789 0.507 0.093
Cs 0.789 0.993 0.593
Cd 0.434 0.512 0.343
Cd 0.434 0.988 0.843
Cd 0.566 0.012 0.157
Cd 0.566 0.488 0.657
H 0.188 0.003 0.721
H 0.188 0.497 0.221
H 0.484 0.694 0.771
H 0.484 0.806 0.271
H 0.516 0.194 0.729
H 0.516 0.306 0.229
H 0.812 0.503 0.779
H 0.812 0.997 0.279


A plane-wave DFT calculation with PBE-GGA was carried out for an optimized crystal structure of CsCd2H6.

Volume ... 17.32 Å³/atom
Excess energy over the best structure of this formula in the dataset ... 0.000 eV per atom
Space-group type ... C2/m, No. 12

a b c (Å): 7.434 7.434 6.137
angles (deg): 110.46 110.46 29.53
Sites, in units of the cell vectors:
Cs 0.000 0.000 0.000
Cd 0.230 0.230 0.769
Cd 0.770 0.770 0.231
H 0.029 0.029 0.532
H 0.314 0.314 0.185
H 0.342 0.342 0.700
H 0.658 0.658 0.300
H 0.686 0.686 0.815
H 0.971 0.971 0.468


A plane-wave DFT calculation with PBE-GGA was carried out for an optimized crystal structure of CsCdH2.

Volume ... 22.83 Å³/atom
Excess energy over the best structure of this formula in the dataset ... 0.185 eV per atom
Space-group type ... I4_1/amd, No. 141

a b c (Å): 5.560 5.560 11.817
angles (deg): 90.00 90.00 90.00
Sites, in units of the cell vectors:
Cs 0.000 0.250 0.375
Cs 0.000 0.750 0.625
Cs 0.500 0.250 0.125
Cs 0.500 0.750 0.875
Cd 0.000 0.250 0.875
Cd 0.000 0.750 0.125
Cd 0.500 0.250 0.625
Cd 0.500 0.750 0.375
H 0.000 0.000 0.000
H 0.000 0.500 0.000
H 0.250 0.250 0.750
H 0.250 0.750 0.250
H 0.500 0.000 0.500
H 0.500 0.500 0.500
H 0.750 0.250 0.750
H 0.750 0.750 0.250


A plane-wave DFT calculation with PBE-GGA was carried out for an optimized crystal structure of Cs2CdHgH6.

Volume ... 17.97 Å³/atom
VASP energy ... -22.97 eV per cell
Space-group type ... I4/mmm, No. 139

a b c (Å): 6.259 6.259 6.259
angles (deg): 117.37 117.37 94.61
Sites, in units of the cell vectors:
Cs 0.250 0.750 0.500
Cs 0.750 0.250 0.500
Cd 0.000 0.000 0.000
Hg 0.500 0.500 0.000
H 0.213 0.213 0.427
H 0.213 0.787 0.000
H 0.298 0.298 0.000
H 0.702 0.702 0.000
H 0.787 0.213 0.000
H 0.787 0.787 0.573


A plane-wave DFT calculation with PBE-GGA was carried out for an optimized crystal structure of Cs2CdHI6.

Volume ... 41.64 Å³/atom
VASP energy ... -20.87 eV per cell
Space-group type ... I4/mmm, No. 139

a b c (Å): 8.689 8.689 8.689
angles (deg): 125.81 125.81 80.19
Sites, in units of the cell vectors:
Cs 0.250 0.750 0.500
Cs 0.750 0.250 0.500
Cd 0.000 0.000 0.000
H 0.500 0.500 0.000
I 0.217 0.217 0.000
I 0.276 0.276 0.553
I 0.276 0.724 0.000
I 0.724 0.276 0.000
I 0.724 0.724 0.447
I 0.783 0.783 0.000


A plane-wave DFT calculation with PBE-GGA was carried out for an optimized crystal structure of Cs2CdInH6.

Volume ... 16.65 Å³/atom
VASP energy ... -25.54 eV per cell
Space-group type ... I4/mmm, No. 139

a b c (Å): 6.186 6.186 6.186
angles (deg): 120.33 120.33 89.44
Sites, in units of the cell vectors:
Cs 0.250 0.750 0.500
Cs 0.750 0.250 0.500
Cd 0.000 0.000 0.000
In 0.500 0.500 0.000
H 0.263 0.263 0.526
H 0.263 0.737 0.000
H 0.266 0.266 0.000
H 0.734 0.734 0.000
H 0.737 0.263 0.000
H 0.737 0.737 0.474


A plane-wave DFT calculation with PBE-GGA was carried out for an optimized crystal structure of Cs3KCd2H6.

Volume ... 25.97 Å³/atom
VASP energy ... -26.57 eV per cell
Space-group type ... P-3m1, No. 164

a b c (Å): 6.577 6.577 8.318
angles (deg): 90.00 90.00 120.00
Sites, in units of the cell vectors:
Cs 0.000 0.000 0.000
Cs 0.333 0.667 0.691
Cs 0.667 0.333 0.309
K 0.000 0.000 0.500
Cd 0.333 0.667 0.215
Cd 0.667 0.333 0.785
H 0.180 0.361 0.297
H 0.180 0.820 0.297
H 0.361 0.180 0.703
H 0.639 0.820 0.297
H 0.820 0.180 0.703
H 0.820 0.639 0.703


A plane-wave DFT calculation with PBE-GGA was carried out for an optimized crystal structure of CsK2CdH.

Volume ... 40.00 Å³/atom
VASP energy ... -7.42 eV per cell
Space-group type ... P4/mmm, No. 123

a b c (Å): 5.685 5.685 6.189
angles (deg): 90.00 90.00 90.00
Sites, in units of the cell vectors:
Cs 0.000 0.000 0.000
K 0.000 0.500 0.500
K 0.500 0.000 0.500
Cd 0.500 0.500 0.000
H 0.000 0.000 0.500


A plane-wave DFT calculation with PBE-GGA was carried out for an optimized crystal structure of Cs3KCd2H8.

Volume ... 22.78 Å³/atom
VASP energy ... -34.78 eV per cell
Space-group type ... P-3m1, No. 164

a b c (Å): 6.558 6.558 8.562
angles (deg): 90.00 90.00 120.00
Sites, in units of the cell vectors:
Cs 0.000 0.000 0.000
Cs 0.333 0.667 0.678
Cs 0.667 0.333 0.322
K 0.000 0.000 0.500
Cd 0.333 0.667 0.227
Cd 0.667 0.333 0.773
H 0.182 0.363 0.310
H 0.182 0.818 0.310
H 0.333 0.667 0.017
H 0.363 0.182 0.690
H 0.637 0.818 0.310
H 0.667 0.333 0.983
H 0.818 0.182 0.690
H 0.818 0.637 0.690


A plane-wave DFT calculation with PBE-GGA was carried out for an optimized crystal structure of CsK2Cd2H6.

Volume ... 22.70 Å³/atom
VASP energy ... -25.55 eV per cell
Space-group type ... R-3m, No. 166

a b c (Å): 8.717 8.717 8.717
angles (deg): 40.29 40.29 40.29
Sites, in units of the cell vectors:
Cs 0.000 0.000 0.000
K 0.202 0.202 0.202
K 0.798 0.798 0.798
Cd 0.431 0.431 0.431
Cd 0.569 0.569 0.569
H 0.218 0.733 0.733
H 0.267 0.267 0.782
H 0.267 0.782 0.267
H 0.733 0.218 0.733
H 0.733 0.733 0.218
H 0.782 0.267 0.267


A plane-wave DFT calculation with PBE-GGA was carried out for an optimized crystal structure of Cs2KCdH.

Volume ... 49.25 Å³/atom
Excess energy over the best structure of this formula in the dataset ... 0.080 eV per atom
Space-group type ... P4/mmm, No. 123

a b c (Å): 6.005 6.005 6.828
angles (deg): 90.00 90.00 90.00
Sites, in units of the cell vectors:
Cs 0.000 0.500 0.000
Cs 0.500 0.000 0.000
K 0.000 0.000 0.500
Cd 0.500 0.500 0.500
H 0.500 0.500 0.000


A plane-wave DFT calculation with PBE-GGA was carried out for an optimized crystal structure of CsKCdH3.

Volume ... 25.69 Å³/atom
VASP energy ... -26.45 eV per cell
Space-group type ... P6_3/mmc, No. 194

a b c (Å): 6.458 6.458 8.534
angles (deg): 90.00 90.00 120.00
Sites, in units of the cell vectors:
Cs 0.333 0.667 0.250
Cs 0.667 0.333 0.750
K 0.000 0.000 0.000
K 0.000 0.000 0.500
Cd 0.333 0.667 0.750
Cd 0.667 0.333 0.250
H 0.172 0.343 0.750
H 0.172 0.828 0.750
H 0.343 0.172 0.250
H 0.657 0.828 0.750
H 0.828 0.172 0.250
H 0.828 0.657 0.250


A plane-wave DFT calculation with PBE-GGA was carried out for an optimized crystal structure of Cs2KCdH4.

Volume ... 25.33 Å³/atom
VASP energy ... -34.33 eV per cell
Space-group type ... I-4, No. 82

a b c (Å): 6.783 6.783 8.808
angles (deg): 90.00 90.00 90.00
Sites, in units of the cell vectors:
Cs 0.000 0.000 0.000
Cs 0.000 0.500 0.250
Cs 0.500 0.000 0.750
Cs 0.500 0.500 0.500
K 0.000 0.500 0.750
K 0.500 0.000 0.250
Cd 0.000 0.000 0.500
Cd 0.500 0.500 0.000
H 0.161 0.793 0.585
H 0.207 0.161 0.415
H 0.293 0.339 0.915
H 0.339 0.707 0.085
H 0.661 0.293 0.085
H 0.707 0.661 0.915
H 0.793 0.839 0.415
H 0.839 0.207 0.585


A plane-wave DFT calculation with PBE-GGA was carried out for an optimized crystal structure of Cs3K3CdH8.

Volume ... 24.90 Å³/atom
VASP energy ... -34.92 eV per cell
Space-group type ... R-3m, No. 166

a b c (Å): 8.268 8.268 8.268
angles (deg): 57.15 57.15 57.15
Sites, in units of the cell vectors:
Cs 0.000 0.500 0.500
Cs 0.500 0.000 0.500
Cs 0.500 0.500 0.000
K 0.000 0.000 0.500
K 0.000 0.500 0.000
K 0.500 0.000 0.000
Cd 0.500 0.500 0.500
H 0.238 0.238 0.238
H 0.299 0.689 0.689
H 0.311 0.311 0.701
H 0.311 0.701 0.311
H 0.689 0.299 0.689
H 0.689 0.689 0.299
H 0.701 0.311 0.311
H 0.762 0.762 0.762